Material: LaPmPCl
Method: DFT, PBE
State: optimized geometry

The structure in extended XYZ format:
```
4
Lattice="4.079 -0.001 0.000 -2.040 3.534 0.000 -2.038 -1.176 7.337" Properties=species:S:1:pos:R:3 pbc="T T T"
La 0.386 -0.259 4.803
Pm -1.654 3.276 0.595
P -1.653 0.920 6.448
Cl 2.425 0.920 2.606
```

For the total energy, the calculation gives -23.46 eV/cell. The value obtained for the density of states at the Fermi level is 1.4 states/eV per cell. The calculated volume is 105.7 Å³/f.u.